This record from Alexandria via LeMat-Bulk describes an optimized crystal structure of HoTh2PaN4. The functional is PBE.

Cell and atoms, written as CIF:
```
data_HoTh2PaN4
_chemical_formula_sum 'Ho1 Th2 Pa1 N4'
_cell_length_a 6.129
_cell_length_b 3.555
_cell_length_c 6.227
_cell_angle_alpha 90.00
_cell_angle_beta 109.09
_cell_angle_gamma 90.00
_space_group_name_H-M_alt 'P 1'
_space_group_IT_number 1
_space_group_name_Hall 'P 1'
loop_
_atom_site_label
_atom_site_type_symbol
_atom_site_fract_x
_atom_site_fract_y
_atom_site_fract_z
_atom_site_occupancy
Ho1 Ho 0.000 0.000 0.000 1
Th1 Th 0.000 0.500 0.500 1
Th2 Th 0.500 0.000 0.500 1
Pa1 Pa 0.500 0.500 0.000 1
N1 N 0.252 0.500 0.228 1
N2 N 0.264 0.000 0.778 1
N3 N 0.736 0.000 0.222 1
N4 N 0.748 0.500 0.772 1
```

## Properties
E_form (uncorrected) = -1.62 eV/atom
Crystal system = monoclinic
Symmetry = P2/m
Calculated total energy = -9.3996 eV per atom